The following is a DFT calculation (PBE-GGA) of a relaxed structure of LiThPa2N4.

The structure belongs to space group P2/m (No. 10); the cell edges are 5.931, 3.564 and 6.127 Å and the angles 90.00°, 108.08° and 90.00°. The inequivalent atoms are Li at (0.000, 0.000, 0.000), Th at (0.000, 0.500, 0.500), Pa at (0.500, 0.000, 0.500), Pa at (0.500, 0.500, 0.000), N at (0.274, 0.000, 0.771) and N at (0.296, 0.500, 0.269).

The calculation puts the volume at 123 Å³ per cell. For the formation energy from raw total energies, the calculation gives -1351 meV/atom. The value obtained for the magnetization is 0.00 μB/cell. The crystal system is monoclinic.